[1]
Entry from the Alexandria database: a PBEsol-optimized structure of TlZnSi (meta-GGA SCAN).

Properties
- DFT total energy (eV/cell) = -94.4
- ΔE to the lowest computed polymorph (meV per atom) = 26
- E_form (uncorrected) (kcal/mol of atoms) = 11.44
- space-group type = F-43m

Unit cell a=4.4580 b=4.4580 c=4.4580 alpha=60.00 beta=60.00 gamma=60.00
Fractional positions:
Tl (0.5000, 0.5000, 0.5000)
Si (0.0000, 0.0000, 0.0000)
Zn (0.2500, 0.2500, 0.2500)



[2]
Entry from the Alexandria database: a PBEsol-optimized structure of LiSiAs2 (meta-GGA SCAN).

Properties
- DFT total energy (eV/cell) = -52.8
- E_form (uncorrected) (kcal/mol of atoms) = 0.07
- space-group type = P4mm

Unit cell a=3.3420 b=3.3420 c=6.3745 alpha=90.00 beta=90.00 gamma=90.00
Fractional positions:
As (0.0000, 0.0000, 0.9011)
As (0.5000, 0.5000, 0.3575)
Si (0.5000, 0.5000, 0.7412)
Li (0.0000, 0.0000, 0.5001)